Entry 1:
SrZn2Cu4, relaxed, DFT PBE; energy of formation from the pure elements = 0.199 eV/atom; VASP energy = -19.222 eV/cell; crystal system = tetragonal; D(E_F) = 2.7 states/eV/cell; spin magnetization = 0.00 Bohr magnetons per cell
1.0
5.800 -0.369 0.000
-2.679 5.157 0.000
-1.560 -2.394 5.061
Zn Cu Sr
2 4 1
Direct
0.750 0.250 0.500 Zn
0.250 0.750 0.500 Zn
0.500 0.731 0.231 Cu
0.500 0.269 0.769 Cu
0.269 0.500 0.769 Cu
0.731 0.500 0.231 Cu
0.000 0.000 0.000 Sr



Entry 2:
SrAs2Pd2Pt, relaxed, DFT PBE; energy of formation from the pure elements = -0.531 eV/atom; VASP energy = -61.189 eV/cell; crystal system = orthorhombic; D(E_F) = 6.3 states/eV/cell; spin magnetization = 0.00 Bohr magnetons per cell
1.0
-3.876 -1.862 1.156
2.296 -1.794 4.805
-3.030 9.382 4.951
Pd As Pt Sr
4 4 2 2
Direct
0.500 0.029 0.845 Pd
0.000 0.529 0.655 Pd
0.000 0.471 0.345 Pd
0.500 0.971 0.155 Pd
0.500 0.367 0.708 As
0.500 0.633 0.292 As
0.000 0.133 0.208 As
0.000 0.867 0.792 As
0.000 0.000 0.000 Pt
0.500 0.500 0.500 Pt
0.000 0.000 0.500 Sr
0.500 0.500 0.000 Sr



Entry 3:
LaTeOs2, relaxed, DFT PBE; uncorrected formation energy = 0.797 eV/atom; VASP energy = -27.342 eV/cell; crystal system = cubic; D(E_F) = 7.0 states/eV/cell; spin magnetization = 0.01 Bohr magnetons per cell
1.0
4.882 0.000 0.000
2.441 4.228 0.000
2.441 1.409 3.986
Os La Te
2 1 1
Direct
0.000 0.000 0.000 Os
0.250 0.250 0.250 Os
0.500 0.500 0.500 La
0.750 0.750 0.750 Te



Entry 4:
BaThPdSe4, relaxed, DFT PBE; uncorrected formation energy = -1.206 eV/atom; VASP energy = -73.838 eV/cell; crystal system = orthorhombic; D(E_F) = 3.4 states/eV/cell; spin magnetization = 0.00 Bohr magnetons per cell
1.0
-2.621 -2.993 5.317
-2.541 -5.446 -4.318
7.991 -2.464 -1.594
Se Pd Ba Th
8 2 2 2
Direct
0.500 0.500 0.500 Se
0.000 0.000 0.500 Se
0.051 0.750 0.103 Se
0.500 0.000 0.500 Se
0.591 0.250 0.183 Se
0.949 0.250 0.897 Se
0.409 0.750 0.817 Se
0.000 0.500 0.500 Se
0.246 0.750 0.493 Pd
0.754 0.250 0.507 Pd
0.396 0.250 0.792 Ba
0.604 0.750 0.208 Ba
0.868 0.750 0.736 Th
0.132 0.250 0.264 Th



Q: What is the D(E_F) in the fourth record?
A: 3.4 states/eV/cell